1.
Material: AlBr2
Method: DFT, meta-GGA SCAN
State: PBEsol geometry

a b c (Å): 6.5092 6.5092 3.7264
angles (deg): 90.00 90.00 90.00
Last column: nearest neighbours and their distance in Å.
Element x y z (fractional)
Al (0.0000, 0.0000, 0.0000)  6 Br 2.65-2.70
Al (0.5000, 0.5000, 0.5000)  6 Br 2.65-2.70
Br (0.2125, 0.2125, 0.5000)  3 Al 2.65-2.70
Br (0.2875, 0.7125, 0.0000)  3 Al 2.65-2.70
Br (0.7125, 0.2875, 0.0000)  3 Al 2.65-2.70
Br (0.7875, 0.7875, 0.5000)  3 Al 2.65-2.70

Properties
E above lowest polymorph = 0.314 eV/atom
Magnetization = 0.00 μB per cell
Formation energy from raw total energies = -0.6472 eV per atom
N(E_F) = 2.07 states/eV per cell


2.
Material: AlBr
Method: DFT, meta-GGA SCAN
State: PBEsol geometry

a b c (Å): 5.1612 5.1612 5.1612
angles (deg): 60.00 60.00 60.00
Last column: nearest neighbours and their distance in Å.
Element x y z (fractional)
Al (0.1250, 0.1250, 0.1250)  4 Al 3.16, 4 Br 3.16
Al (0.8750, 0.8750, 0.8750)  4 Br 3.16, 4 Al 3.16
Br (0.3750, 0.3750, 0.3750)  4 Br 3.16, 4 Al 3.16
Br (0.6250, 0.6250, 0.6250)  4 Br 3.16, 4 Al 3.16

Properties
Magnetization = 0.00 μB per cell
Formation energy from raw total energies = 0.2168 eV per atom
N(E_F) = 0.39 states/eV per cell